# 1
An optimized crystal structure of La12Sn3H5, computed with PBE.

Results
Raw total energy, eV/atom: -4.759
Total magnetic moment, μB per cell: 0.00

Cell lengths 16.527, 16.527, 16.527 Å; angles 90.00, 90.00, 90.00 degrees
Space group Ia-3d (No. 230)
Inequivalent atoms, fractional coordinates:
La (0.040, 0.057, 0.651) (multiplicity 96)
Sn (0.000, 0.250, 0.125) (multiplicity 24)
H (0.000, 0.000, 0.000) (multiplicity 16)
H (0.000, 0.250, 0.375) (multiplicity 24)

# 2
An optimized crystal structure of HfMg2Hg2, computed with PBE.

Results
Energy of formation from the pure elements, meV/atom: 35
Total magnetic moment, μB per cell: 0.00

Cell lengths 8.220, 8.220, 3.079 Å; angles 90.00, 90.00, 90.00 degrees
Space group P4/mbm (No. 127)
Inequivalent atoms, fractional coordinates:
Hf (0.000, 0.000, 0.000) (multiplicity 2)
Mg (0.126, 0.374, 0.000) (multiplicity 4)
Hg (0.174, 0.674, 0.500) (multiplicity 4)

# 3
An optimized crystal structure of FePt6Rh5, computed with PBE.

Results
Energy of formation from the pure elements, meV/atom: -74
Total magnetic moment, μB per cell: 8.15

Cell lengths 3.893, 7.799, 11.695 Å; angles 90.00, 90.00, 90.00 degrees
Space group Immm (No. 71)
Inequivalent atoms, fractional coordinates:
Fe (0.000, 0.000, 0.000) (multiplicity 2)
Pt (0.000, 0.247, 0.166) (multiplicity 8)
Pt (0.000, 0.256, 0.500) (multiplicity 4)
Rh (0.000, 0.000, 0.336) (multiplicity 4)
Rh (0.000, 0.500, 0.000) (multiplicity 2)
Rh (0.000, 0.500, 0.336) (multiplicity 4)

# 4
An optimized crystal structure of Ti5GaPd2, computed with PBE.

Results
Energy of formation from the pure elements, meV/atom: -330
Total magnetic moment, μB per cell: 0.00

Cell lengths 6.474, 6.474, 12.821 Å; angles 90.00, 90.00, 90.00 degrees
Space group I4/mcm (No. 140)
Inequivalent atoms, fractional coordinates:
Ti (0.000, 0.000, 0.000) (multiplicity 4)
Ti (0.153, 0.347, 0.164) (multiplicity 16)
Ga (0.000, 0.000, 0.250) (multiplicity 4)
Pd (0.142, 0.358, 0.500) (multiplicity 8)

# 5
An optimized crystal structure of K3Li2Sn9, computed with PBE.

Results
Energy of formation from the pure elements, meV/atom: -222
Total magnetic moment, μB per cell: 0.00

Cell lengths 4.715, 12.830, 13.609 Å; angles 90.00, 90.00, 90.00 degrees
Space group Immm (No. 71)
Inequivalent atoms, fractional coordinates:
K (0.000, 0.000, 0.000) (multiplicity 2)
K (0.000, 0.000, 0.276) (multiplicity 4)
Li (0.000, 0.142, 0.500) (multiplicity 4)
Sn (0.000, 0.302, 0.144) (multiplicity 8)
Sn (0.000, 0.338, 0.373) (multiplicity 8)
Sn (0.000, 0.500, 0.000) (multiplicity 2)

# 6
An optimized crystal structure of Na2MnBi2, computed with PBE.

Results
Energy of formation from the pure elements, meV/atom: 284
Total magnetic moment, μB per cell: 8.12

Cell lengths 4.021, 4.021, 17.038 Å; angles 90.00, 90.00, 90.00 degrees
Space group I4/mmm (No. 139)
Inequivalent atoms, fractional coordinates:
Na (0.000, 0.500, 0.250) (multiplicity 4)
Mn (0.000, 0.000, 0.000) (multiplicity 2)
Bi (0.000, 0.000, 0.408) (multiplicity 4)

# 7
An optimized crystal structure of CaCuAg2, computed with PBE.

Results
Energy of formation from the pure elements, meV/atom: -61
Total magnetic moment, μB per cell: 0.00

Cell lengths 3.557, 3.557, 6.344 Å; angles 90.00, 90.00, 90.00 degrees
Space group P4mm (No. 99)
Inequivalent atoms, fractional coordinates:
Ca (0.000, 0.000, 0.000) (multiplicity 1)
Cu (0.500, 0.500, 0.282) (multiplicity 1)
Ag (0.000, 0.000, 0.474) (multiplicity 1)
Ag (0.500, 0.500, 0.706) (multiplicity 1)

# 8
An optimized crystal structure of Ac7La12Pr, computed with PBE.

Results
Energy of formation from the pure elements, meV/atom: 237
Total magnetic moment, μB per cell: 0.00

Cell lengths 19.0241, 19.0241, 7.7136 Å; angles 90.00, 90.00, 120.00 degrees
Space group R-3 (No. 148, hexagonal axes)
Inequivalent atoms, fractional coordinates:
Ac (0.0000, 0.0000, 0.0000) (multiplicity 3)
Ac (0.0053, 0.7825, 0.2867) (multiplicity 18)
La (0.0046, 0.8419, 0.7615) (multiplicity 18)
La (0.0139, 0.4698, 0.7250) (multiplicity 18)
Pr (0.0000, 0.0000, 0.5000) (multiplicity 3)

# 9
An optimized crystal structure of Cd3Au4, computed with PBE.

Results
Energy of formation from the pure elements, meV/atom: 64
Total magnetic moment, μB per cell: 0.00

Cell lengths 5.6305, 5.6305, 5.2001 Å; angles 90.00, 90.00, 120.00 degrees
Space group P6/mmm (No. 191)
Inequivalent atoms, fractional coordinates:
Cd (0.0000, 0.5000, 0.0000) (multiplicity 3)
Au (0.0000, 0.0000, 0.2523) (multiplicity 2)
Au (0.3333, 0.6667, 0.5000) (multiplicity 2)

# 10
An optimized crystal structure of NbCd2Rh, computed with PBE.

Results
Energy of formation from the pure elements, meV/atom: 217
Total magnetic moment, μB per cell: 0.00

Cell lengths 6.589, 6.589, 6.589 Å; angles 90.00, 90.00, 90.00 degrees
Space group Fm-3m (No. 225)
Inequivalent atoms, fractional coordinates:
Nb (0.000, 0.000, 0.000) (multiplicity 4)
Cd (0.250, 0.250, 0.250) (multiplicity 8)
Rh (0.000, 0.000, 0.500) (multiplicity 4)

# 11
An optimized crystal structure of MnGeSN, computed with PBE.

Results
Uncorrected formation energy, eV/atom: -0.012
Total magnetic moment, μB per cell: 4.01

Cell lengths 3.355, 3.169, 12.015 Å; angles 90.00, 90.00, 90.00 degrees
Space group Amm2 (No. 38)
Inequivalent atoms, fractional coordinates:
Mn (0.000, 0.000, 0.000) (multiplicity 2)
Ge (0.500, 0.000, 0.677) (multiplicity 2)
S (0.000, 0.000, 0.376) (multiplicity 2)
N (0.500, 0.000, 0.069) (multiplicity 2)

# 12
An optimized crystal structure of RbCa2YRh, computed with PBE.

Results
Energy of formation from the pure elements, meV/atom: -121
Total magnetic moment, μB per cell: 0.00

Cell lengths 5.863, 5.863, 5.398 Å; angles 90.00, 90.00, 90.00 degrees
Space group P4/mmm (No. 123)
Inequivalent atoms, fractional coordinates:
Rb (0.000, 0.000, 0.000) (multiplicity 1)
Ca (0.000, 0.500, 0.500) (multiplicity 2)
Y (0.500, 0.500, 0.000) (multiplicity 1)
Rh (0.500, 0.500, 0.500) (multiplicity 1)